Sr4MnTc PBE optimized geometry; mass density = 3.69 g cm⁻³; Fermi-level density of states = 12.28 states/eV/cell; formation energy from the elements = 1.360 eV per atom
1.0
4.093 1.433 5.292
-2.587 2.870 5.647
-0.476 -3.637 5.776
Sr Mn Tc
4 1 1
Direct
0.873 0.376 0.376
0.376 0.376 0.873
0.376 0.873 0.376
0.376 0.376 0.376
0.000 0.000 0.000
0.750 0.750 0.750